LuGa | GGA-PBE | optimized geometry

Unit cell a=3.6086 b=3.6086 c=8.4869 alpha=90.00 beta=90.00 gamma=120.00
Atoms (fractional coordinates):
Lu 0.0000 0.0000 0.0000
Lu 0.0000 0.0000 0.5000
Ga 0.3333 0.6667 0.2500
Ga 0.6667 0.3333 0.7500

Calculated volume ... 23.9 Å³/atom
DFT total energy ... -4.108 eV per atom